Record 1
The following is a PBE-GGA calculation of a geometry-optimized KErCuSe3 structure, from Alexandria via LeMat-Bulk.

Output
raw formation energy: -114.22 kJ/mol of atoms
symmetry: No. 11

Cell lengths 4.031, 9.130, 9.667 Å; angles 109.92, 90.00, 90.00 degrees
Element x y z (fractional)
Er 0.750 0.325 0.854
Er 0.250 0.675 0.146
Se 0.250 0.537 0.836
Se 0.250 0.801 0.468
Se 0.750 0.199 0.532
Se 0.250 0.109 0.858
Se 0.750 0.463 0.164
Se 0.750 0.891 0.142
Cu 0.750 0.916 0.402
Cu 0.250 0.084 0.598
K 0.750 0.794 0.764
K 0.250 0.206 0.236

Record 2
The following is a PBE-GGA calculation of a geometry-optimized SiAs2IBr structure, from Alexandria via LeMat-Bulk.

Output
excess energy over the best structure of this formula in the dataset: 0 meV per atom
raw formation energy: 48.22 kJ/mol of atoms
symmetry: No. 123

Cell lengths 5.027, 5.027, 4.943 Å; angles 90.00, 90.00, 90.00 degrees
Element x y z (fractional)
Br 0.000 0.000 0.500
As 0.500 0.000 0.000
As 0.000 0.500 0.000
I 0.500 0.500 0.500
Si 0.000 0.000 0.000

Record 3
The following is a PBE-GGA calculation of a geometry-optimized CrAu2Cl6 structure, from Alexandria via LeMat-Bulk.

Output
raw formation energy: -54.30 kJ/mol of atoms
symmetry: No. 15

Cell lengths 5.872, 9.581, 9.581 Å; angles 91.00, 92.53, 92.53 degrees
Each line ends with the local moment (μB).
Element x y z (fractional)
Cr 0.250 0.925 0.075  2.27
Cr 0.750 0.075 0.925  2.27
Au 0.699 0.378 0.380  -0.01
Au 0.199 0.380 0.378  -0.01
Au 0.301 0.622 0.620  -0.01
Au 0.801 0.620 0.622  -0.01
Cl 0.053 0.492 0.756  0.00
Cl 0.878 0.077 0.713  -0.04
Cl 0.908 0.847 0.961  -0.05
Cl 0.622 0.287 0.923  -0.04
Cl 0.122 0.923 0.287  -0.04
Cl 0.408 0.961 0.847  -0.05
Cl 0.553 0.756 0.492  0.00
Cl 0.447 0.244 0.508  0.00
Cl 0.092 0.153 0.039  -0.05
Cl 0.592 0.039 0.153  -0.05
Cl 0.947 0.508 0.244  0.00
Cl 0.378 0.713 0.077  -0.04